Record 1
Material: Cd2SiAuCl
Method: DFT, PBE-GGA
State: relaxed

Calculated values
Formation energy from raw total energies   0.7598 eV per atom

```
Cd2SiAuCl
1.0
5.2875 0.0000 0.0000
0.0000 5.2875 0.0000
0.0000 0.0000 4.7548
Cd Si Au Cl
2 1 1 1
direct
0.0000 0.5000 0.0000 Cd
0.5000 0.0000 0.0000 Cd
0.0000 0.0000 0.5000 Si
0.5000 0.5000 0.5000 Au
0.0000 0.0000 0.0000 Cl
```

---

Record 2
Material: Nd2Sm7Tl2
Method: DFT, PBE-GGA
State: relaxed

```
Nd2Sm7Tl2
1.0
4.5244 -4.8490 0.0000
4.5244 4.8490 0.0000
-2.1752 0.0000 8.3200
Nd Sm Tl
2 7 2
direct
0.1803 0.8197 0.0000 Nd
0.8197 0.1803 0.0000 Nd
0.0000 0.0000 0.5000 Sm
0.1173 0.5218 0.3296 Sm
0.3100 0.3100 0.9793 Sm
0.4782 0.8827 0.6704 Sm
0.5218 0.1173 0.3296 Sm
0.6900 0.6900 0.0207 Sm
0.8827 0.4782 0.6704 Sm
0.3820 0.3820 0.6469 Tl
0.6180 0.6180 0.3531 Tl
```

---

Record 3
Material: RbTl2Ag2
Method: DFT, PBE-GGA
State: relaxed

```
RbTl2Ag2
1.0
6.6287 0.0000 0.0000
3.2424 6.4764 0.0000
3.3060 1.1042 7.3561
Rb Tl Ag
2 4 4
direct
0.1175 0.2510 0.2531 Rb
0.8825 0.7490 0.7469 Rb
0.1680 0.1432 0.7942 Tl
0.4057 0.6457 0.2884 Tl
0.5943 0.3543 0.7116 Tl
0.8320 0.8568 0.2058 Tl
0.3185 0.6907 0.9475 Ag
0.4545 0.8081 0.5570 Ag
0.5455 0.1919 0.4430 Ag
0.6815 0.3093 0.0525 Ag
```

---

Record 4
Material: Ac2NF2
Method: DFT, PBE-GGA
State: relaxed

Calculated values
Formation energy from raw total energies   -2.5639 eV per atom

```
Ac2NF2
1.0
-3.0248 6.2331 3.0938
3.0248 -6.2331 3.0938
3.0248 6.2331 -3.0938
Ac N F
4 2 4
direct
0.1063 0.2247 0.3310 Ac
0.3937 0.7247 0.1184 Ac
0.6063 0.2753 0.8816 Ac
0.8937 0.7753 0.6690 Ac
0.2500 0.2500 0.0000 N
0.7500 0.7500 0.0000 N
0.2017 0.6145 0.8162 F
0.2983 0.1145 0.4128 F
0.7017 0.8855 0.5872 F
0.7983 0.3855 0.1838 F
```

---

Record 5
Material: Pm2CuAu
Method: DFT, PBE-GGA
State: relaxed

```
Pm2CuAu
1.0
3.6425 0.0000 0.0000
0.0000 3.6425 0.0000
0.0000 0.0000 7.2277
Pm Cu Au
2 1 1
direct
0.0000 0.0000 0.2423 Pm
0.0000 0.0000 0.7577 Pm
0.5000 0.5000 0.0000 Cu
0.5000 0.5000 0.5000 Au
```

---

Record 6
Material: Cr2BN
Method: DFT, PBE-GGA
State: relaxed

Calculated values
Formation energy from raw total energies   0.3867 eV per atom

```
Cr2BN
1.0
0.0000 2.5577 2.5577
2.5577 0.0000 2.5577
2.5577 2.5577 0.0000
Cr B N
2 1 1
direct
0.2500 0.2500 0.2500 Cr
0.7500 0.7500 0.7500 Cr
0.0000 0.0000 0.0000 B
0.5000 0.5000 0.5000 N
```

---

Record 7
Material: TiGaPt4
Method: DFT, PBE-GGA
State: relaxed

```
TiGaPt4
1.0
5.7462 0.0000 0.0000
0.0000 5.9815 0.0000
-0.0128 0.0000 5.6912
Ti Ga Pt
2 2 8
direct
0.0000 0.0000 0.0000 Ti
0.0000 0.5000 0.5000 Ti
0.5000 0.0000 0.0000 Ga
0.5000 0.5000 0.5000 Ga
0.2502 0.1648 0.6546 Pt
0.2502 0.3352 0.1546 Pt
0.2509 0.6644 0.8464 Pt
0.2509 0.8356 0.3464 Pt
0.7491 0.1644 0.6536 Pt
0.7491 0.3356 0.1536 Pt
0.7498 0.6648 0.8454 Pt
0.7498 0.8352 0.3454 Pt
```

---

Record 8
Material: Sc2PaTiO8
Method: DFT, PBE-GGA
State: relaxed

Calculated values
Formation energy from raw total energies   -3.1804 eV per atom

```
Sc2PaTiO8
1.0
4.8398 0.0000 0.0000
0.0000 6.5482 0.0000
-0.0546 0.0000 4.8399
Sc Pa Ti O
2 1 1 8
direct
0.0000 0.2356 0.0000 Sc
0.0000 0.7644 0.0000 Sc
0.5000 0.5000 0.5000 Pa
0.5000 0.0000 0.5000 Ti
0.1892 0.5000 0.1907 O
0.2079 0.0000 0.2089 O
0.3101 0.2283 0.6911 O
0.3101 0.7717 0.6911 O
0.6899 0.2283 0.3089 O
0.6899 0.7717 0.3089 O
0.7921 0.0000 0.7911 O
0.8108 0.5000 0.8093 O
```

---

Record 9
Material: ZrVMo2
Method: DFT, PBE-GGA
State: relaxed

```
ZrVMo2
1.0
3.1803 0.0000 0.0000
0.0000 3.1803 0.0000
0.0000 0.0000 6.5724
Zr V Mo
1 1 2
direct
0.0000 0.0000 0.0000 Zr
0.0000 0.0000 0.5000 V
0.5000 0.5000 0.2742 Mo
0.5000 0.5000 0.7258 Mo
```

---

Magnetization (μB/f.u.)
0.0, 0.0, 0.0, 0.8, 0.0, 0.0, 0.0, 0.6, 0.0
Total energy (eV/atom)
-1.72, -4.30, -2.25, -6.62, -4.69, -8.18, -6.45, -8.99, -9.81